## Ca6TlGa5 (PBE)

Data for a geometry-optimized Ca6TlGa5 structure.

Calculated values
Crystal system ... monoclinic
Magnetic moment ... 0.00 μB/f.u.
Symmetry ... P2/m
ΔH_f (0 K) ... -0.43 eV per atom

Cell: 5.2371 7.4348 8.2790 Å, 90.00 107.93 90.00°
Closest atoms and distances in Å follow each position.
Fractional positions:
Ca: 0.0000 0.2414 0.0000  6 Ga 3.17-3.24, 2 Tl 3.25
Ca: 0.0000 0.7586 0.0000  6 Ga 3.17-3.24, 2 Tl 3.25
Ca: 0.3308 0.2458 0.6600  7 Ga 3.17-3.24, 1 Tl 3.28
Ca: 0.3308 0.7542 0.6600  7 Ga 3.17-3.24, 1 Tl 3.28
Ca: 0.6692 0.2458 0.3400  7 Ga 3.17-3.24, 1 Tl 3.28
Ca: 0.6692 0.7542 0.3400  7 Ga 3.17-3.24, 1 Tl 3.28
Tl: 0.5000 0.5000 0.0000  8 Ca 3.25-3.28
Ga: 0.1643 0.0000 0.3313  8 Ca 3.17-3.20
Ga: 0.1641 0.5000 0.3313  8 Ca 3.21-3.24
Ga: 0.5000 0.0000 0.0000  8 Ca 3.17-3.24
Ga: 0.8357 0.0000 0.6687  8 Ca 3.17-3.20
Ga: 0.8359 0.5000 0.6687  8 Ca 3.21-3.24